[1]
# MnTlSe2 meta-GGA SCAN single point on PBEsol structure
# Density of states at the Fermi level, states/eV/cell: 1.719
# Uncorrected formation energy, eV per atom: -0.27
# VASP energy, eV/cell: -131.869
data_MnTlSe2
_chemical_formula_sum 'Mn1 Tl1 Se2'
_cell_length_a 3.1849
_cell_length_b 3.1849
_cell_length_c 8.0865
_cell_angle_alpha 90.00
_cell_angle_beta 90.00
_cell_angle_gamma 90.00
_symmetry_space_group_name_H-M 'P 4/m m m'
_symmetry_Int_Tables_number 123
_symmetry_space_group_name_Hall '-P 4 2'
loop_
_atom_site_label
_atom_site_type_symbol
_atom_site_fract_x
_atom_site_fract_y
_atom_site_fract_z
_atom_site_occupancy
Mn1 Mn 0.0000 0.0000 0.0000 1
Tl1 Tl 0.0000 0.0000 0.5000 1
Se1 Se 0.5000 0.5000 0.1815 1

[2]
# MnTlSe2 meta-GGA SCAN single point on PBEsol structure
# Density of states at the Fermi level, states/eV/cell: 1.228
# Uncorrected formation energy, eV per atom: -0.23
# VASP energy, eV/cell: -263.344
data_MnTlSe2
_chemical_formula_sum 'Mn2 Tl2 Se4'
_cell_length_a 3.8475
_cell_length_b 3.8475
_cell_length_c 13.0230
_cell_angle_alpha 90.00
_cell_angle_beta 90.00
_cell_angle_gamma 90.00
_symmetry_space_group_name_H-M 'I -4 m 2'
_symmetry_Int_Tables_number 119
_symmetry_space_group_name_Hall 'I -4 -2'
loop_
_atom_site_label
_atom_site_type_symbol
_atom_site_fract_x
_atom_site_fract_y
_atom_site_fract_z
_atom_site_occupancy
Mn1 Mn 0.0000 0.0000 0.0000 1
Tl1 Tl 0.0000 0.5000 0.7500 1
Se1 Se 0.0000 0.0000 0.5000 1
Se2 Se 0.0000 0.5000 0.2500 1

[3]
# MnTl3Se meta-GGA SCAN single point on PBEsol structure
# Density of states at the Fermi level, states/eV/cell: 4.320
# Uncorrected formation energy, eV per atom: 0.58
# VASP energy, eV/cell: -252.501
data_MnTl3Se
_chemical_formula_sum 'Mn1 Tl3 Se1'
_cell_length_a 5.6170
_cell_length_b 5.6170
_cell_length_c 5.6170
_cell_angle_alpha 90.00
_cell_angle_beta 90.00
_cell_angle_gamma 90.00
_symmetry_space_group_name_H-M 'P m -3 m'
_symmetry_Int_Tables_number 221
_symmetry_space_group_name_Hall '-P 4 2 3'
loop_
_atom_site_label
_atom_site_type_symbol
_atom_site_fract_x
_atom_site_fract_y
_atom_site_fract_z
_atom_site_occupancy
Mn1 Mn 0.0000 0.0000 0.0000 1
Tl1 Tl 0.0000 0.5000 0.5000 1
Se1 Se 0.5000 0.5000 0.5000 1

[4]
# MnWSe2 meta-GGA SCAN single point on PBEsol structure
# Density of states at the Fermi level, states/eV/cell: 1.798
# Uncorrected formation energy, eV per atom: -0.15
# VASP energy, eV/cell: -128.697
data_MnWSe2
_chemical_formula_sum 'Mn1 W1 Se2'
_cell_length_a 3.2056
_cell_length_b 3.2056
_cell_length_c 6.8491
_cell_angle_alpha 90.00
_cell_angle_beta 90.00
_cell_angle_gamma 90.00
_symmetry_space_group_name_H-M 'P 4 m m'
_symmetry_Int_Tables_number 99
_symmetry_space_group_name_Hall 'P 4 -2'
loop_
_atom_site_label
_atom_site_type_symbol
_atom_site_fract_x
_atom_site_fract_y
_atom_site_fract_z
_atom_site_occupancy
Mn1 Mn 0.0000 0.0000 0.0000 1
W1 W 0.5000 0.5000 0.7714 1
Se1 Se 0.0000 0.0000 0.5792 1
Se2 Se 0.5000 0.5000 0.1496 1

[5]
# MnWSe2 meta-GGA SCAN single point on PBEsol structure
# Density of states at the Fermi level, states/eV/cell: 3.203
# Uncorrected formation energy, eV per atom: 0.15
# VASP energy, eV/cell: -509.991
data_MnWSe2
_chemical_formula_sum 'Mn4 W4 Se8'
_cell_length_a 6.2666
_cell_length_b 6.2666
_cell_length_c 6.2666
_cell_angle_alpha 90.00
_cell_angle_beta 90.00
_cell_angle_gamma 90.00
_symmetry_space_group_name_H-M 'F m -3 m'
_symmetry_Int_Tables_number 225
_symmetry_space_group_name_Hall '-F 4 2 3'
loop_
_atom_site_label
_atom_site_type_symbol
_atom_site_fract_x
_atom_site_fract_y
_atom_site_fract_z
_atom_site_occupancy
Mn1 Mn 0.0000 0.0000 0.0000 1
W1 W 0.0000 0.0000 0.5000 1
Se1 Se 0.2500 0.2500 0.2500 1

[6]
# Mn2WSe meta-GGA SCAN single point on PBEsol structure
# Density of states at the Fermi level, states/eV/cell: 5.700
# Uncorrected formation energy, eV per atom: 0.16
# VASP energy, eV/cell: -251.263
data_Mn2WSe
_chemical_formula_sum 'Mn4 W2 Se2'
_cell_length_a 3.2582
_cell_length_b 4.4535
_cell_length_c 7.8223
_cell_angle_alpha 90.00
_cell_angle_beta 90.00
_cell_angle_gamma 90.00
_symmetry_space_group_name_H-M 'C m m m'
_symmetry_Int_Tables_number 65
_symmetry_space_group_name_Hall '-C 2 2'
loop_
_atom_site_label
_atom_site_type_symbol
_atom_site_fract_x
_atom_site_fract_y
_atom_site_fract_z
_atom_site_occupancy
Mn1 Mn 0.0000 0.0000 0.2469 1
W1 W 0.0000 0.5000 0.5000 1
Se1 Se 0.0000 0.5000 0.0000 1

[7]
# MnWSe2 meta-GGA SCAN single point on PBEsol structure
# Density of states at the Fermi level, states/eV/cell: 2.555
# Uncorrected formation energy, eV per atom: 0.02
# VASP energy, eV/cell: -256.077
data_MnWSe2
_chemical_formula_sum 'Mn2 W2 Se4'
_cell_length_a 8.3334
_cell_length_b 3.1816
_cell_length_c 5.3861
_cell_angle_alpha 90.00
_cell_angle_beta 100.72
_cell_angle_gamma 90.00
_symmetry_space_group_name_H-M 'C 1 m 1'
_symmetry_Int_Tables_number 8
_symmetry_space_group_name_Hall 'C -2y'
loop_
_atom_site_label
_atom_site_type_symbol
_atom_site_fract_x
_atom_site_fract_y
_atom_site_fract_z
_atom_site_occupancy
Mn1 Mn 0.0000 0.0000 0.0000 1
W1 W 0.2544 0.5000 0.2447 1
Se1 Se 0.2593 0.0000 0.8702 1
Se2 Se 0.4878 0.0000 0.4223 1

[8]
# Y3MnSe meta-GGA SCAN single point on PBEsol structure
# Density of states at the Fermi level, states/eV/cell: 4.401
# Uncorrected formation energy, eV per atom: -0.47
# VASP energy, eV/cell: -124.212
data_Y3MnSe
_chemical_formula_sum 'Y3 Mn1 Se1'
_cell_length_a 5.2720
_cell_length_b 5.2720
_cell_length_c 5.2720
_cell_angle_alpha 90.00
_cell_angle_beta 90.00
_cell_angle_gamma 90.00
_symmetry_space_group_name_H-M 'P m -3 m'
_symmetry_Int_Tables_number 221
_symmetry_space_group_name_Hall '-P 4 2 3'
loop_
_atom_site_label
_atom_site_type_symbol
_atom_site_fract_x
_atom_site_fract_y
_atom_site_fract_z
_atom_site_occupancy
Y1 Y 0.0000 0.0000 0.5000 1
Mn1 Mn 0.5000 0.5000 0.5000 1
Se1 Se 0.0000 0.0000 0.0000 1

Repeat the first record exactly.
# MnTlSe2 meta-GGA SCAN single point on PBEsol structure
# Density of states at the Fermi level, states/eV/cell: 1.719
# Uncorrected formation energy, eV per atom: -0.27
# VASP energy, eV/cell: -131.869
data_MnTlSe2
_chemical_formula_sum 'Mn1 Tl1 Se2'
_cell_length_a 3.1849
_cell_length_b 3.1849
_cell_length_c 8.0865
_cell_angle_alpha 90.00
_cell_angle_beta 90.00
_cell_angle_gamma 90.00
_symmetry_space_group_name_H-M 'P 4/m m m'
_symmetry_Int_Tables_number 123
_symmetry_space_group_name_Hall '-P 4 2'
loop_
_atom_site_label
_atom_site_type_symbol
_atom_site_fract_x
_atom_site_fract_y
_atom_site_fract_z
_atom_site_occupancy
Mn1 Mn 0.0000 0.0000 0.0000 1
Tl1 Tl 0.0000 0.0000 0.5000 1
Se1 Se 0.5000 0.5000 0.1815 1